Li2PPd3 | PBE | optimized geometry

Its space-group type is R-3m (166). The calculation puts the total energy at -4.726 eV per atom.

abc: 4.759 4.759 4.759
angles: 70.24 70.24 70.24
Atoms (fractional coordinates):
Pd1 0.500 0.000 0.000
Pd2 0.000 0.000 0.500
Pd3 0.000 0.500 0.000
Li1 0.376 0.376 0.376
Li2 0.624 0.624 0.624
P1 0.000 0.000 0.000

=====

Li2P2Pd3 | PBE | optimized geometry

Its space-group type is R3m (160). The calculation puts the total energy at -4.836 eV per atom.

abc: 7.022 7.022 7.022
angles: 34.54 34.54 34.54
Atoms (fractional coordinates):
Pd1 0.372 0.372 0.372
Pd2 0.626 0.626 0.626
Pd3 0.115 0.115 0.115
Li1 0.238 0.238 0.238
Li2 0.780 0.780 0.780
P1 0.993 0.993 0.993
P2 0.500 0.500 0.500

=====

Li4P2PdS8 | PBE | optimized geometry

Its space-group type is P-1 (2). The calculation puts the total energy at -4.519 eV per atom.

abc: 6.661 6.701 6.985
angles: 86.55 83.78 84.29
Atoms (fractional coordinates):
Li1 0.808 0.579 0.870
Li2 0.697 0.138 0.476
Li3 0.303 0.862 0.524
Li4 0.192 0.421 0.130
P1 0.187 0.311 0.694
P2 0.813 0.689 0.306
S1 0.315 0.126 0.907
S2 0.329 0.237 0.433
S3 0.821 0.402 0.230
S4 0.671 0.763 0.567
S5 0.685 0.874 0.093
S6 0.109 0.781 0.253
S7 0.179 0.598 0.770
S8 0.891 0.219 0.747
Pd1 0.000 0.000 0.000

=====

Li4SbPPd2 | PBE | optimized geometry

Its space-group type is P-4m2 (115). The calculation puts the total energy at -4.083 eV per atom.

abc: 4.243 4.243 6.299
angles: 90.00 90.00 90.00
Atoms (fractional coordinates):
Li1 0.000 0.500 0.283
Li2 0.500 0.500 0.500
Li3 0.000 0.000 0.000
Li4 0.500 0.000 0.717
Pd1 0.000 0.500 0.722
Pd2 0.500 0.000 0.278
Sb1 0.500 0.500 0.000
P1 0.000 0.000 0.500

=====

Li4SiPPd2 | PBE | optimized geometry

Its space-group type is P-4m2 (115). The calculation puts the total energy at -4.197 eV per atom.

abc: 4.153 4.153 5.916
angles: 90.00 90.00 90.00
Atoms (fractional coordinates):
Li1 0.500 0.500 0.000
Li2 0.000 0.500 0.758
Li3 0.500 0.000 0.242
Li4 0.000 0.000 0.500
P1 0.000 0.000 0.000
Pd1 0.000 0.500 0.256
Pd2 0.500 0.000 0.744
Si1 0.500 0.500 0.500

=====

Li4SnPPd2 | PBE | optimized geometry

Its space-group type is P-4m2 (115). The calculation puts the total energy at -4.032 eV per atom.

abc: 4.242 4.242 6.295
angles: 90.00 90.00 90.00
Atoms (fractional coordinates):
Li1 0.500 0.000 0.716
Li2 0.000 0.500 0.284
Li3 0.500 0.500 0.500
Li4 0.000 0.000 0.000
Sn1 0.500 0.500 0.000
P1 0.000 0.000 0.500
Pd1 0.500 0.000 0.277
Pd2 0.000 0.500 0.723

=====

Sr2LiP2Pd | PBE | optimized geometry

Its space-group type is P-6m2 (187). The calculation puts the total energy at -4.514 eV per atom.

abc: 4.224 4.224 8.581
angles: 90.00 90.00 120.00
Atoms (fractional coordinates):
P1 0.000 0.000 0.000
P2 0.667 0.333 0.500
Sr1 0.333 0.667 0.243
Sr2 0.333 0.667 0.757
Pd1 0.000 0.000 0.500
Li1 0.667 0.333 0.000

=====

SrLiP2Pd | PBE | optimized geometry

Its space-group type is I-4m2 (119). The calculation puts the total energy at -4.801 eV per atom.

abc: 5.889 5.889 5.889
angles: 139.15 139.15 59.15
Atoms (fractional coordinates):
P1 0.361 0.861 0.500
P2 0.139 0.639 0.500
Sr1 0.750 0.250 0.500
Li1 0.000 0.000 0.000
Pd1 0.500 0.500 0.000

=====

Li4TlPPd2 | PBE | optimized geometry

Its space-group type is P-4m2 (115). The calculation puts the total energy at -3.722 eV per atom.

abc: 4.268 4.268 6.338
angles: 90.00 90.00 90.00
Atoms (fractional coordinates):
Li1 0.500 0.500 0.500
Li2 0.000 0.500 0.220
Li3 0.000 0.000 0.000
Li4 0.500 0.000 0.780
P1 0.500 0.500 0.000
Tl1 0.000 0.000 0.500
Pd1 0.000 0.500 0.793
Pd2 0.500 0.000 0.207

=====

Li2P2Pt | PBE | optimized geometry

Its space-group type is P4/mbm (127). The calculation puts the total energy at -4.853 eV per atom.

abc: 5.997 5.997 4.141
angles: 90.00 90.00 90.00
Atoms (fractional coordinates):
Pt1 0.500 0.500 0.000
Pt2 0.000 0.000 0.000
Li1 0.824 0.324 0.500
Li2 0.176 0.676 0.500
Li3 0.676 0.824 0.500
Li4 0.324 0.176 0.500
P1 0.870 0.630 0.000
P2 0.630 0.130 0.000
P3 0.370 0.870 0.000
P4 0.130 0.370 0.000

=====

LiPPt3 | PBE | optimized geometry

Its space-group type is Cmcm (63). The calculation puts the total energy at -5.642 eV per atom.

abc: 5.526 5.582 6.079
angles: 90.00 117.03 90.00
Atoms (fractional coordinates):
Pt1 0.313 0.250 0.625
Pt2 0.257 0.000 0.000
Pt3 0.743 0.500 0.000
Pt4 0.257 0.500 0.000
Pt5 0.687 0.750 0.375
Pt6 0.743 0.000 0.000
P1 0.887 0.750 0.773
P2 0.113 0.250 0.227
Li1 0.755 0.250 0.511
Li2 0.245 0.750 0.489

=====

LiPPt | PBE | optimized geometry

Its space-group type is Pnma (62). The calculation puts the total energy at -5.158 eV per atom.

abc: 6.439 3.939 7.015
angles: 90.00 90.00 90.00
Atoms (fractional coordinates):
Pt1 0.661 0.250 0.066
Pt2 0.839 0.750 0.566
Pt3 0.161 0.250 0.434
Pt4 0.339 0.750 0.934
P1 0.714 0.750 0.878
P2 0.286 0.250 0.122
P3 0.786 0.250 0.378
P4 0.214 0.750 0.622
Li1 0.017 0.250 0.827
Li2 0.483 0.750 0.327
Li3 0.983 0.750 0.173
Li4 0.517 0.250 0.673

=====

Li4SnPPt2 | PBE | optimized geometry

Its space-group type is P-4m2 (115). The calculation puts the total energy at -4.303 eV per atom.

abc: 4.189 4.189 6.415
angles: 90.00 90.00 90.00
Atoms (fractional coordinates):
Pt1 0.500 0.000 0.220
Pt2 0.000 0.500 0.780
Li1 0.500 0.500 0.000
Li2 0.500 0.000 0.785
Li3 0.000 0.500 0.215
Li4 0.000 0.000 0.500
P1 0.000 0.000 0.000
Sn1 0.500 0.500 0.500

=====

LiRe3P5 | PBE | optimized geometry

Its space-group type is P6/mmm (191). The calculation puts the total energy at -7.018 eV per atom.

abc: 5.302 5.302 7.149
angles: 90.00 90.00 120.00
Atoms (fractional coordinates):
Re1 0.500 0.000 0.500
Re2 0.000 0.500 0.500
Re3 0.500 0.500 0.500
P1 0.667 0.333 0.227
P2 0.333 0.667 0.773
P3 0.333 0.667 0.227
P4 0.000 0.000 0.500
P5 0.667 0.333 0.773
Li1 0.000 0.000 0.000

=====

Li2TaPS4 | PBE | optimized geometry

Its space-group type is P-6m2 (187). The calculation puts the total energy at -5.446 eV per atom.

abc: 3.379 3.379 12.891
angles: 90.00 90.00 120.00
Atoms (fractional coordinates):
S1 0.333 0.667 0.878
S2 0.333 0.667 0.122
S3 0.667 0.333 0.622
S4 0.667 0.333 0.378
Li1 0.000 0.000 0.750
Li2 0.000 0.000 0.250
Ta1 0.000 0.000 0.500
P1 0.000 0.000 0.000

=====

Li2TaPSe4 | PBE | optimized geometry

Its space-group type is P-6m2 (187). The calculation puts the total energy at -4.980 eV per atom.

abc: 3.547 3.547 13.628
angles: 90.00 90.00 120.00
Atoms (fractional coordinates):
P1 0.000 0.000 0.000
Se1 0.667 0.333 0.621
Se2 0.333 0.667 0.877
Se3 0.667 0.333 0.379
Se4 0.333 0.667 0.123
Ta1 0.000 0.000 0.500
Li1 0.000 0.000 0.748
Li2 0.000 0.000 0.252

=====

LiTa3P5 | PBE | optimized geometry

Its space-group type is P6/mmm (191). The calculation puts the total energy at -7.439 eV per atom.

abc: 5.744 5.744 5.867
angles: 90.00 90.00 120.00
Atoms (fractional coordinates):
Ta1 0.500 0.000 0.500
Ta2 0.500 0.500 0.500
Ta3 0.000 0.500 0.500
P1 0.333 0.667 0.181
P2 0.000 0.000 0.500
P3 0.667 0.333 0.819
P4 0.333 0.667 0.819
P5 0.667 0.333 0.181
Li1 0.000 0.000 0.000

=====

Li2TbP | PBE | optimized geometry

Its space-group type is P-1 (2). The calculation puts the total energy at -4.141 eV per atom.

abc: 3.914 6.118 6.754
angles: 111.38 90.01 90.11
Atoms (fractional coordinates):
Li1 0.250 0.580 0.651
Li2 0.750 0.878 0.570
Li3 0.750 0.420 0.349
Li4 0.250 0.122 0.430
P1 0.750 0.331 0.690
P2 0.250 0.669 0.310
Tb1 0.250 0.235 0.941
Tb2 0.750 0.765 0.059

=====

Li4PaPb2 | PBE | optimized geometry

Its space-group type is P4/mmm (123). The calculation puts the total energy at -3.559 eV per atom.

abc: 4.703 4.703 6.862
angles: 90.00 90.00 90.00
Site moments in Bohr magnetons follow the coordinates.
Atoms (fractional coordinates):
Li1 0.000 0.500 0.701  0.00
Li2 0.000 0.500 0.299  0.00
Li3 0.500 0.000 0.299  0.01
Li4 0.500 0.000 0.701  0.01
Pa1 0.500 0.500 0.000  0.85
Pb1 0.500 0.500 0.500  -0.04
Pb2 0.000 0.000 0.000  -0.03

=====

LiPaPd | PBE | optimized geometry

Its energy above the most stable polymorph in this dataset is 0.455 eV/atom. Its space-group type is F-43m (216).

abc: 4.624 4.624 4.624
angles: 60.00 60.00 60.00
Site moments in Bohr magnetons follow the coordinates.
Atoms (fractional coordinates):
Pd1 0.750 0.750 0.750  -0.02
Li1 0.250 0.250 0.250  0.06
Pa1 0.000 0.000 0.000  1.07

=====

Number 1: calculated volume 92.4 Å³ per cell. Number 2: calculated volume 99.3 Å³ per cell. Number 3: calculated volume 308.0 Å³ per cell. Number 4: calculated volume 113.4 Å³ per cell. Number 5: calculated volume 102.0 Å³ per cell. Number 6: calculated volume 113.3 Å³ per cell. Number 7: calculated volume 132.6 Å³ per cell. Number 8: calculated volume 86.5 Å³ per cell. Number 9: calculated volume 115.5 Å³ per cell. Number 10: calculated volume 148.9 Å³ per cell. Number 11: calculated volume 167.0 Å³ per cell. Number 12: calculated volume 177.9 Å³ per cell. Number 13: calculated volume 112.6 Å³ per cell. Number 14: calculated volume 174.1 Å³ per cell. Number 15: calculated volume 127.5 Å³ per cell. Number 16: calculated volume 148.5 Å³ per cell. Number 17: calculated volume 167.6 Å³ per cell. Number 18: calculated volume 150.6 Å³ per cell. Number 19: calculated volume 151.8 Å³ per cell. Number 20: calculated volume 69.9 Å³ per cell.